1.
A relaxed Th5PaC6 crystal. Source: Alexandria, functional PBE.

The value obtained for the formation energy from the elements is -0.308 eV/atom.

a b c (Å): 6.5057 6.5057 6.4954
angles (deg): 99.59 99.59 120.04
Closest atoms and distances in Å follow each position.
Atoms (fractional coordinates):
Th1 0.0000 0.0000 0.0000  6 C 2.65-2.76
Th2 0.1666 0.8334 0.5000  6 C 2.67
Th3 0.3345 0.6655 0.0000  6 C 2.63-2.80
Th4 0.6655 0.3345 0.0000  6 C 2.63-2.80
Th5 0.8334 0.1666 0.5000  6 C 2.67
Pa1 0.5000 0.5000 0.5000  6 C 2.52-2.54
C1 0.1050 0.4200 0.2601  1 Pa 2.52, 5 Th 2.64-2.80
C2 0.2639 0.2639 0.7429  1 Pa 2.54, 5 Th 2.63-2.76
C3 0.4200 0.1050 0.2601  1 Pa 2.52, 5 Th 2.64-2.80
C4 0.5800 0.8950 0.7399  1 Pa 2.52, 5 Th 2.64-2.80
C5 0.7361 0.7361 0.2571  1 Pa 2.54, 5 Th 2.63-2.76
C6 0.8950 0.5800 0.7399  1 Pa 2.52, 5 Th 2.64-2.80

---

2.
A relaxed BeP2Os crystal. Source: Alexandria, functional PBE.

The value obtained for the formation energy from the elements is 0.061 eV/atom.

a b c (Å): 2.9253 2.9253 6.7765
angles (deg): 90.00 90.00 90.00
Closest atoms and distances in Å follow each position.
Atoms (fractional coordinates):
Be1 0.0000 0.0000 0.0000  5 P 2.39-2.65, 4 Os 2.45
P1 0.0000 0.0000 0.3909  4 Os 2.47, 1 Be 2.65
P2 0.5000 0.5000 0.8245  4 Be 2.39, 1 Os 2.50
Os1 0.5000 0.5000 0.1928  4 Be 2.45, 5 P 2.47-2.50

---

3.
A relaxed U2Pa crystal. Source: Alexandria, functional PBE.

The value obtained for the formation energy from the elements is 0.226 eV/atom. The value obtained for the energy above the most stable polymorph in this dataset is 41 kJ/mol of formula units.

a b c (Å): 5.7194 5.7194 3.0083
angles (deg): 90.00 90.00 138.40
Closest atoms and distances in Å follow each position.
Atoms (fractional coordinates):
U1 0.1712 0.8288 0.0000  2 U 2.64
U2 0.8288 0.1712 0.0000  2 U 2.64
Pa1 0.5000 0.5000 0.5000  2 Pa 3.01, 8 U 3.12

---

4.
A relaxed CePuCdPd crystal. Source: Alexandria, functional PBE.

The value obtained for the formation energy from the elements is -0.200 eV/atom.

a b c (Å): 5.2005 5.2005 5.2005
angles (deg): 60.00 60.00 60.00
Closest atoms and distances in Å follow each position.
Atoms (fractional coordinates):
Ce1 0.0000 0.0000 0.0000  4 Pd 3.18, 4 Cd 3.18
Pu1 0.5000 0.5000 0.5000  4 Cd 3.18, 4 Pd 3.18
Cd1 0.2500 0.2500 0.2500  4 Pu 3.18, 4 Ce 3.18
Pd1 0.7500 0.7500 0.7500  4 Pu 3.18, 4 Ce 3.18

---

5.
A relaxed CaTm2Rh3 crystal. Source: Alexandria, functional PBE.

The value obtained for the formation energy from the elements is -0.796 eV/atom.

a b c (Å): 3.3653 3.3653 10.3728
angles (deg): 90.00 90.00 90.00
Closest atoms and distances in Å follow each position.
Atoms (fractional coordinates):
Ca1 0.0000 0.0000 0.0000  8 Rh 3.05, 4 Ca 3.37
Tm1 0.0000 0.0000 0.3344  8 Rh 2.85-2.94
Tm2 0.0000 0.0000 0.6656  8 Rh 2.85-2.94
Rh1 0.5000 0.5000 0.1835  4 Tm 2.85, 4 Ca 3.05
Rh2 0.5000 0.5000 0.5000  8 Tm 2.94, 2 Rh 3.28
Rh3 0.5000 0.5000 0.8165  4 Tm 2.85, 4 Ca 3.05

---

6.
A relaxed LaBMo crystal. Source: Alexandria, functional PBE.

The value obtained for the formation energy from the elements is -0.108 eV/atom. The value obtained for the energy above the most stable polymorph in this dataset is 5 kJ/mol of formula units.

a b c (Å): 3.6676 3.6676 9.5170
angles (deg): 90.00 90.00 90.00
Closest atoms and distances in Å follow each position.
Atoms (fractional coordinates):
La1 0.2500 0.2500 0.2035  4 B 2.91
La2 0.7500 0.7500 0.7965  4 B 2.91
B1 0.2500 0.2500 0.6578  4 Mo 2.37
B2 0.7500 0.7500 0.3422  4 Mo 2.37
Mo1 0.2500 0.7500 0.5000  4 B 2.37, 4 Mo 2.59
Mo2 0.7500 0.2500 0.5000  4 B 2.37, 4 Mo 2.59